[1]
# Cu2P3O10

A PBEsol-optimized structure of Cu2P3O10 (SCAN, Alexandria via LeMat-Bulk).

It has space group P2_1/m (No. 11), with a = 4.612 Å, b = 8.264 Å, c = 8.886 Å, α = 90.00°, β = 99.01° and γ = 90.00°. The asymmetric unit holds Cu at (0.052, 0.068, 0.331), P at (0.320, 0.250, 0.814), P at (0.396, 0.750, 0.463), P at (0.475, 0.250, 0.149), O at (0.153, 0.095, 0.796), O at (0.203, 0.750, 0.764), O at (0.231, 0.594, 0.491), O at (0.287, 0.250, 0.445), O at (0.320, 0.093, 0.177), O at (0.424, 0.750, 0.289) and O at (0.474, 0.750, 0.025).

***

[2]
# CuPPbO2

A PBEsol-optimized structure of CuPPbO2 (SCAN, Alexandria via LeMat-Bulk).

It has space group P4/mmm (No. 123), with a = 3.871 Å, b = 3.871 Å, c = 4.561 Å, α = 90.00°, β = 90.00° and γ = 90.00°. The asymmetric unit holds Cu at (0.000, 0.000, 0.000), P at (0.000, 0.000, 0.500), Pb at (0.500, 0.500, 0.500) and O at (0.000, 0.500, 0.000).

***

[3]
# CuP2PbO7

A PBEsol-optimized structure of CuP2PbO7 (SCAN, Alexandria via LeMat-Bulk).

It has space group P2_1/c (No. 14), with a = 5.424 Å, b = 8.161 Å, c = 13.583 Å, α = 90.00°, β = 112.80° and γ = 90.00°. The asymmetric unit holds Cu at (0.175, 0.142, 0.386), P at (0.095, 0.535, 0.340), P at (0.167, 0.695, 0.989), Pb at (0.489, 0.669, 0.778), O at (0.019, 0.144, 0.849), O at (0.121, 0.162, 0.519), O at (0.161, 0.122, 0.237), O at (0.173, 0.615, 0.456), O at (0.220, 0.596, 0.901), O at (0.331, 0.556, 0.307) and O at (0.386, 0.680, 0.099).

***

E_form (uncorrected) / eV per atom: -1.874; -0.006; -2.039
DOS at the Fermi energy / states/eV/cell: 4.69; 3.73; 0.00